1.
BaCa2F at its PBEsol-relaxed geometry, computed with meta-GGA SCAN.

Final energy: -17.0980 eV per atom
Theoretical density: 2.65 g cm⁻³
Energy relative to the elements, uncorrected: -1.494 eV per atom
SG: Fd-3m, No. 227
Spin magnetization: 0.000 μB per formula unit

abc: 7.480 7.480 7.480
angles: 60.00 60.00 60.00
Fractional coordinates of all 8 atoms:
Ca (0.125, 0.125, 0.625)
Ca (0.125, 0.125, 0.125)
Ca (0.625, 0.125, 0.125)
Ca (0.125, 0.625, 0.125)
Ba (0.750, 0.750, 0.750)
Ba (0.500, 0.500, 0.500)
F (0.250, 0.250, 0.250)
F (0.000, 0.000, 0.000)



2.
BaCaGaF7 at its PBEsol-relaxed geometry, computed with meta-GGA SCAN.

Final energy: -12.7067 eV per atom
Theoretical density: 4.56 g cm⁻³
Energy relative to the elements, uncorrected: -3.673 eV per atom
SG: P2/c, No. 13
Spin magnetization: 0.036 μB per formula unit

abc: 5.390 5.409 18.994
angles: 90.00 92.29 90.00
Fractional coordinates of all 40 atoms:
Ba (0.252, 0.761, 0.932)
Ba (0.748, 0.239, 0.068)
Ba (0.752, 0.239, 0.432)
Ba (0.248, 0.761, 0.568)
Ca (0.750, 0.677, 0.250)
Ca (0.250, 0.323, 0.750)
Ca (0.250, 0.208, 0.250)
Ca (0.750, 0.792, 0.750)
Ga (0.298, 0.774, 0.119)
Ga (0.798, 0.226, 0.619)
Ga (0.202, 0.774, 0.381)
Ga (0.702, 0.226, 0.881)
F (0.778, 0.942, 0.937)
F (0.722, 0.942, 0.563)
F (0.222, 0.058, 0.063)
F (0.278, 0.058, 0.437)
F (0.526, 0.977, 0.177)
F (0.974, 0.977, 0.323)
F (0.474, 0.023, 0.823)
F (0.026, 0.023, 0.677)
F (0.562, 0.717, 0.057)
F (0.938, 0.717, 0.443)
F (0.438, 0.283, 0.943)
F (0.062, 0.283, 0.557)
F (0.589, 0.410, 0.560)
F (0.911, 0.410, 0.940)
F (0.411, 0.590, 0.440)
F (0.089, 0.590, 0.060)
F (0.558, 0.128, 0.684)
F (0.942, 0.128, 0.816)
F (0.442, 0.872, 0.316)
F (0.058, 0.872, 0.184)
F (0.076, 0.505, 0.325)
F (0.424, 0.505, 0.175)
F (0.924, 0.495, 0.675)
F (0.576, 0.495, 0.825)
F (0.425, 0.628, 0.691)
F (0.075, 0.628, 0.809)
F (0.575, 0.372, 0.309)
F (0.925, 0.372, 0.191)



3.
BaCaNiF2 at its PBEsol-relaxed geometry, computed with meta-GGA SCAN.

Final energy: -15.3224 eV per atom
Theoretical density: 4.27 g cm⁻³
Energy relative to the elements, uncorrected: -0.829 eV per atom
SG: P4/mmm, No. 123
Spin magnetization: 0.001 μB per formula unit

abc: 4.549 4.839 4.839
angles: 90.00 90.00 90.00
Fractional coordinates of all 5 atoms:
Ni (0.000, 0.000, 0.000)
Ca (0.500, 0.000, 0.000)
Ba (0.500, 0.500, 0.500)
F (0.000, 0.000, 0.500)
F (0.000, 0.500, 0.000)